Crystalline SiHRuS2 at its relaxed geometry. Source: the Alexandria database, functional GGA-PBE.

a = 4.5520 Å, b = 4.7883 Å, c = 4.5520 Å
α = 90.00°, β = 90.00°, γ = 90.00°
Positions (direct):
S 0.5000 0.0000 0.0000
S 0.0000 0.0000 0.5000
Si 0.0000 0.5000 0.0000
Ru 0.0000 0.0000 0.0000
H 0.5000 0.5000 0.5000

## Properties
Total magnetic moment: 0.21 μB/cell
DOS at the Fermi energy: 4.77 states/eV per cell
Energy: -0.16058 Ha/atom